Compound: Mn2InOsN
Source: Alexandria
Functional: PBE
Structure: relaxed

Lattice parameters (Å, degrees): 5.081 5.081 3.722 90.00 90.00 90.00
Space group P4/mmm (No. 123)
Inequivalent atoms, fractional coordinates:
Mn (0.000, 0.500, 0.000) [2 per cell]
In (0.000, 0.000, 0.500) [1 per cell]
Os (0.500, 0.500, 0.000) [1 per cell]
N (0.500, 0.500, 0.500) [1 per cell]

The calculation puts the calculated density at 7.4 g cm⁻³. The value obtained for the calculated volume is 96.11 Å³/cell. For the density of states at the Fermi level, the calculation gives 0.705 states/eV/atom. The final energy comes out at -7.39 eV per atom.